Entry 1:
The following is a DFT calculation (GGA-PBE) of an optimized crystal structure of La4AgPdAu2.

Cell and atoms, written as POSCAR:
```
La4AgPdAu2
1.0
-3.121 -4.087 -1.459
0.558 -2.193 -4.843
4.934 -7.650 1.083
Ag Pd Au La
1 1 2 4
Direct
0.000 0.000 0.000
0.500 0.500 0.500
0.743 0.743 0.770
0.257 0.257 0.230
0.870 0.870 0.390
0.620 0.620 0.140
0.130 0.130 0.610
0.380 0.380 0.860
```

Computed properties:
SG: R-3m, No. 166
Density of states at the Fermi level: 8.03 states/eV per cell

Entry 2:
The following is a DFT calculation (GGA-PBE) of an optimized crystal structure of Ti4Re2Pt.

Cell and atoms, written as POSCAR:
```
Ti4Re2Pt
1.0
5.039 -0.060 -1.810
-2.529 4.390 -1.734
-0.035 0.060 5.354
Ti Pt Re
4 1 2
Direct
0.500 0.000 0.000
0.000 0.000 0.500
0.000 0.500 0.000
0.500 0.500 0.500
0.000 0.000 0.000
0.500 0.500 0.000
0.500 0.000 0.500
```

Computed properties:
SG: I4/mmm, No. 139
Density of states at the Fermi level: 6.39 states/eV per cell

Entry 3:
The following is a DFT calculation (GGA-PBE) of an optimized crystal structure of FeAsPC.

Cell and atoms, written as POSCAR:
```
FeAsPC
1.0
-4.160 0.419 2.599
-1.094 -2.239 -1.390
3.226 -4.916 5.382
P As C Fe
2 2 2 2
Direct
0.156 0.000 0.088
0.156 0.500 0.588
0.686 0.500 0.284
0.686 0.000 0.784
0.372 0.000 0.919
0.372 0.500 0.419
0.099 0.500 0.871
0.099 0.000 0.371
```

Computed properties:
Energy above the most stable polymorph in this dataset: 265 meV per atom
SG: Cm, No. 8
Density of states at the Fermi level: 3.37 states/eV per cell

Entry 4:
The following is a DFT calculation (GGA-PBE) of an optimized crystal structure of BaScZn3.

Cell and atoms, written as POSCAR:
```
BaScZn3
1.0
5.320 0.000 0.000
0.000 5.320 0.000
0.000 0.000 5.320
Sc Zn Ba
1 3 1
Direct
0.000 0.000 0.000
0.000 0.500 0.000
0.000 0.000 0.500
0.500 0.000 0.000
0.500 0.500 0.500
```

Computed properties:
Energy above the most stable polymorph in this dataset: 0 meV per atom
SG: Pm-3m, No. 221
Density of states at the Fermi level: 7.93 states/eV per cell

Entry 5:
The following is a DFT calculation (GGA-PBE) of an optimized crystal structure of LaCd6Ag.

Cell and atoms, written as POSCAR:
```
LaCd6Ag
1.0
5.673 1.515 0.000
1.515 5.673 0.000
0.000 0.000 6.682
La Cd Ag
1 6 1
Direct
0.000 0.000 0.500
0.500 0.000 0.236
0.500 0.500 0.237
0.000 0.500 0.764
0.000 0.500 0.236
0.500 0.000 0.764
0.500 0.500 0.763
0.000 0.000 0.000
```

Computed properties:
SG: Cmmm, No. 65
Density of states at the Fermi level: 5.47 states/eV per cell

Calculated DFT formation energy (eV per atom), listed in the same order as above: -0.643, -0.351, 0.449, 0.176, -0.073
Calculated total magnetic moment (μB per cell), listed in the same order as above: 0.00, 0.00, 1.19, 0.00, 0.00
Calculated raw total energy (eV/atom), listed in the same order as above: -4.932, -9.282, -6.487, -2.239, -1.732